No. 1
A geometry-optimized BeSi3H structure. Source: the Alexandria database, functional PBEsol.

POSCAR file:
```
BeSi3H
1.0
3.8018 0.0000 0.0000
0.0000 3.8018 0.0000
0.0000 0.0000 3.8018
Si H Be
3 1 1
direct
0.0000 0.0000 0.5000
0.5000 0.0000 0.0000
0.0000 0.5000 0.0000
0.0000 0.0000 0.0000
0.5000 0.5000 0.5000
```

Output
symmetry = Pm-3m, No. 221
crystal system = cubic
electronic total energy = -4.330 eV per atom

***

No. 2
A geometry-optimized BeSnH3 structure. Source: the Alexandria database, functional PBEsol.

POSCAR file:
```
BeSnH3
1.0
-1.3611 -3.0991 -1.0462
3.1346 -1.5596 0.5419
-0.9346 -0.7175 3.3412
Be Sn H
1 1 3
direct
0.0000 0.0000 0.0000
0.5000 0.5000 0.5000
0.0000 0.5000 0.0000
0.5000 0.0000 0.0000
0.0000 0.0000 0.5000
```

Output
symmetry = Pm-3m, No. 221
crystal system = cubic
excess energy over the best structure of this formula in the dataset = 0 meV/atom

***

No. 3
A geometry-optimized BeSnH3 structure. Source: the Alexandria database, functional PBEsol.

POSCAR file:
```
BeSnH3
1.0
-3.2484 1.1506 1.9358
-1.4807 -3.6513 -0.3144
1.6967 -0.9835 3.4318
Be Sn H
1 1 3
direct
0.5000 0.5000 0.5000
0.0000 0.0000 0.0000
0.5000 0.0000 0.0000
0.0000 0.5000 0.0000
0.0000 0.0000 0.5000
```

Output
symmetry = Pm-3m, No. 221
crystal system = cubic
excess energy over the best structure of this formula in the dataset = 474 meV/atom

***

No. 4
A geometry-optimized Sr2BeH2 structure. Source: the Alexandria database, functional PBEsol.

POSCAR file:
```
Sr2BeH2
1.0
-3.7566 0.7298 3.5838
0.6071 -4.7387 -2.2337
1.9156 -3.9839 2.8192
H Sr Be
2 2 1
direct
0.1931 0.3862 0.8069
0.8069 0.6138 0.1931
0.2500 0.5000 0.2500
0.7500 0.5000 0.7500
0.0000 0.0000 0.0000
```

Output
symmetry = I4/mmm, No. 139
crystal system = tetragonal
electronic total energy = -2.820 eV per atom

***

No. 5
A geometry-optimized TaBeH structure. Source: the Alexandria database, functional PBEsol.

POSCAR file:
```
TaBeH
1.0
3.4350 0.0000 0.0000
0.0000 3.4199 0.0000
0.0000 1.7099 4.5862
Ta Be H
2 2 2
direct
0.7500 0.1433 0.7135
0.2500 0.8567 0.2865
0.7500 0.4376 0.1248
0.2500 0.5624 0.8752
0.2500 0.2468 0.5064
0.7500 0.7532 0.4936
```

Output
symmetry = Cmcm, No. 63
crystal system = orthorhombic
electronic total energy = -6.941 eV per atom

***

No. 6
A geometry-optimized BeTc2TeH structure. Source: the Alexandria database, functional PBEsol.

POSCAR file:
```
BeTc2TeH
1.0
4.1150 0.0000 0.0000
0.0000 4.1150 0.0000
0.0000 0.0000 4.4169
Te Be H Tc
1 1 1 2
direct
0.0000 0.0000 0.5000
0.0000 0.0000 0.0000
0.5000 0.5000 0.5000
0.0000 0.5000 0.0000
0.5000 0.0000 0.0000
```

Output
symmetry = P4/mmm, No. 123
crystal system = tetragonal
electronic total energy = -5.180 eV per atom

***

Question: Which formula does entry 6 have?
Answer: BeTc2TeH